Here is KCuTc2 after structural relaxation from Alexandria. Energies are from PBE.

Properties
ΔE to the lowest computed polymorph (kcal/mol of atoms): 8.688
N(E_F) (states/eV per cell): 6.080
Final energy (eV per atom): -5.52
Formation energy (eV/f.u.): 3.9

Cell: 3.3097 3.3097 7.7460 Å, 90.00 90.00 90.00°
Last column: nearest neighbours and their distance in Å.
Sites, in units of the cell vectors:
K  0.5000  0.5000  0.7500  4 K 3.31, 8 Tc 3.63
Tc  0.0000  0.0000  0.1089  1 Tc 2.19
Tc  0.0000  0.0000  0.3911  1 Tc 2.19
Cu  0.5000  0.5000  0.2500  8 Tc 2.58



Here is Sn3HgAu after structural relaxation from Alexandria. Energies are from PBE.

Properties
ΔE to the lowest computed polymorph (kcal/mol of atoms): 0.000
N(E_F) (states/eV per cell): 9.214
Final energy (eV per atom): -3.15
Formation energy (eV/f.u.): -0.1

Cell: 7.0667 7.0667 12.8818 Å, 86.78 109.20 120.18°
Last column: nearest neighbours and their distance in Å.
Sites, in units of the cell vectors:
Sn  0.8037  0.7649  0.9644  2 Au 2.78-2.84, 2 Hg 2.93-3.09, 1 Sn 3.00
Sn  0.3005  0.8393  0.5356  2 Au 2.78-2.84, 2 Hg 2.93-3.09, 1 Sn 3.00
Sn  0.1963  0.2351  0.0356  2 Au 2.78-2.84, 2 Hg 2.93-3.09, 1 Sn 3.00
Sn  0.7062  0.1662  0.1052  2 Au 2.88-3.02, 2 Sn 3.14-3.16
Sn  0.2904  0.7672  0.2052  2 Au 2.80-2.82, 1 Hg 2.98
Sn  0.0620  0.0853  0.2948  2 Au 2.80-2.82, 1 Hg 2.98
Sn  0.4390  0.3990  0.6052  2 Au 2.88-3.02, 2 Sn 3.14-3.16
Sn  0.6995  0.1607  0.4644  2 Au 2.78-2.84, 2 Hg 2.93-3.09, 1 Sn 3.00
Sn  0.7096  0.2328  0.7948  2 Au 2.80-2.82, 1 Hg 2.98
Sn  0.2938  0.8338  0.8948  2 Au 2.88-3.02, 2 Sn 3.14-3.16
Sn  0.5610  0.6010  0.3948  2 Au 2.88-3.02, 2 Sn 3.14-3.16
Sn  0.9380  0.9147  0.7052  2 Au 2.80-2.82, 1 Hg 2.98
Au  0.0000  0.5000  0.0000  6 Sn 2.78-2.88
Au  0.0000  0.0000  0.5000  6 Sn 2.78-2.88
Au  0.4742  0.2242  0.2500  6 Sn 2.82-3.02, 2 Hg 3.03
Au  0.5258  0.7758  0.7500  6 Sn 2.82-3.02, 2 Hg 3.03
Hg  0.9977  0.4998  0.6593  4 Sn 2.93-3.28, 1 Au 3.03
Hg  0.3404  0.3384  0.8407  4 Sn 2.93-3.28, 1 Au 3.03
Hg  0.0023  0.5002  0.3407  4 Sn 2.93-3.28, 1 Au 3.03
Hg  0.6596  0.6616  0.1593  4 Sn 2.93-3.28, 1 Au 3.03



Here is La5Dy6Y after structural relaxation from Alexandria. Energies are from PBE.

Properties
N(E_F) (states/eV per cell): 18.649
Final energy (eV per atom): -4.87
Formation energy (eV/f.u.): 0.3

Cell: 6.2202 7.3413 9.6290 Å, 67.56 88.37 89.96°
Last column: nearest neighbours and their distance in Å.
Sites, in units of the cell vectors:
La  0.6674  0.1648  0.6706  8 Dy 3.58-3.65, 1 Y 3.64, 3 La 3.67-3.70
La  0.6663  0.6667  0.6666  8 Dy 3.60-3.62, 4 La 3.67-3.70
La  0.0000  0.5000  0.0000  8 Dy 3.61, 2 Y 3.67, 2 La 3.67
La  0.3337  0.3333  0.3334  8 Dy 3.60-3.62, 4 La 3.67-3.70
La  0.3326  0.8352  0.3294  8 Dy 3.58-3.65, 1 Y 3.64, 3 La 3.67-3.70
Dy  0.8320  0.5843  0.3321  7 La 3.60-3.65, 1 Y 3.60, 4 Dy 3.66-3.70
Dy  0.1681  0.9164  0.6680  7 La 3.60-3.65, 1 Y 3.61, 4 Dy 3.66-3.70
Dy  0.8319  0.0836  0.3320  7 La 3.60-3.65, 1 Y 3.61, 4 Dy 3.66-3.70
Dy  0.1680  0.4157  0.6679  7 La 3.60-3.65, 1 Y 3.60, 4 Dy 3.66-3.70
Dy  0.4999  0.7507  0.0000  6 La 3.58-3.62, 2 Y 3.61, 4 Dy 3.66-3.68
Dy  0.5001  0.2493  0.0000  6 La 3.58-3.62, 2 Y 3.61, 4 Dy 3.66-3.68
Y  0.0000  0.0000  0.0000  8 Dy 3.60-3.61, 4 La 3.64-3.67